No. 1
! Tb2NdY5Er PBE optimized geometry; values from VASP
&SYSTEM
  ibrav = 0, nat = 18, ntyp = 4
/
ATOMIC_SPECIES
Y 88.91 Y.upf
Tb 158.93 Tb.upf
Nd 144.24 Nd.upf
Er 167.26 Er.upf
ATOMIC_POSITIONS crystal
Y 0.161 0.072 0.733
Y 0.000 0.000 0.000
Y 0.500 0.500 0.000
Tb 0.113 0.387 0.000
Y 0.339 0.839 0.267
Y 0.661 0.161 0.733
Tb 0.887 0.613 0.000
Nd 0.750 0.750 0.500
Tb 0.387 0.887 0.000
Y 0.572 0.661 0.733
Er 0.750 0.250 0.500
Y 0.839 0.928 0.267
Y 0.072 0.572 0.733
Tb 0.613 0.113 0.000
Y 0.928 0.428 0.267
Y 0.428 0.339 0.267
Nd 0.250 0.250 0.500
Er 0.250 0.750 0.500
CELL_PARAMETERS angstrom
-4.343 2.932 -7.206
-4.983 -7.386 -0.002
-0.337 5.599 7.989
! **Energy**: -5.383 eV per atom
! **Density of states at the Fermi level**: 23.38 states/eV/cell

=====

No. 2
! Tb2Nd2YEr2 PBE optimized geometry; values from VASP
&SYSTEM
  ibrav = 0, nat = 7, ntyp = 4
/
ATOMIC_SPECIES
Er 167.26 Er.upf
Nd 144.24 Nd.upf
Y 88.91 Y.upf
Tb 158.93 Tb.upf
ATOMIC_POSITIONS crystal
Er 0.226 0.451 0.636
Nd 0.329 0.658 0.085
Y 0.000 0.000 0.500
Tb 0.551 0.101 0.230
Nd 0.671 0.342 0.915
Tb 0.449 0.899 0.770
Er 0.774 0.549 0.364
CELL_PARAMETERS angstrom
-2.316 1.515 -2.186
-0.891 -6.054 -0.407
-8.845 -2.984 7.304
! **Energy**: -4.826 eV per atom
! **Density of states at the Fermi level**: 11.37 states/eV/cell

=====

No. 3
! TbNdY3Er PBE optimized geometry; values from VASP
&SYSTEM
  ibrav = 0, nat = 12, ntyp = 4
/
ATOMIC_SPECIES
Tb 158.93 Tb.upf
Y 88.91 Y.upf
Nd 144.24 Nd.upf
Er 167.26 Er.upf
ATOMIC_POSITIONS crystal
Tb 0.499 0.999 0.750
Y 0.667 0.334 0.500
Nd 0.000 0.000 0.500
Nd 0.000 0.000 0.000
Y 0.333 0.666 0.000
Y 0.667 0.334 0.000
Er 0.166 0.333 0.250
Er 0.834 0.667 0.750
Y 0.167 0.334 0.750
Tb 0.501 0.001 0.250
Y 0.833 0.666 0.250
Y 0.333 0.666 0.500
CELL_PARAMETERS angstrom
5.058 0.000 0.000
-2.529 7.593 0.000
0.000 0.000 10.117
! **Energy**: -5.537 eV per atom
! **Density of states at the Fermi level**: 17.21 states/eV/cell

=====

No. 4
! TbNdY2Er PBE optimized geometry; values from VASP
&SYSTEM
  ibrav = 0, nat = 10, ntyp = 4
/
ATOMIC_SPECIES
Nd 144.24 Nd.upf
Y 88.91 Y.upf
Tb 158.93 Tb.upf
Er 167.26 Er.upf
ATOMIC_POSITIONS crystal
Nd 0.250 0.728 0.457
Y 0.000 0.310 0.000
Y 0.500 0.690 0.000
Tb 0.250 0.996 0.992
Y 0.500 0.310 0.000
Tb 0.750 0.004 0.008
Nd 0.750 0.272 0.543
Er 0.250 0.275 0.550
Er 0.750 0.725 0.450
Y 0.000 0.690 0.000
CELL_PARAMETERS angstrom
-4.681 2.501 -4.901
1.857 -6.477 -5.080
-5.116 0.141 4.958
! **Energy**: -4.987 eV per atom
! **Density of states at the Fermi level**: 14.88 states/eV/cell

=====

No. 5
! TbNdYEr PBE optimized geometry; values from VASP
&SYSTEM
  ibrav = 0, nat = 4, ntyp = 4
/
ATOMIC_SPECIES
Y 88.91 Y.upf
Tb 158.93 Tb.upf
Nd 144.24 Nd.upf
Er 167.26 Er.upf
ATOMIC_POSITIONS crystal
Y 0.750 0.750 0.750
Tb 0.000 0.000 0.000
Nd 0.250 0.250 0.250
Er 0.500 0.500 0.500
CELL_PARAMETERS angstrom
5.710 0.000 0.000
2.855 4.945 0.000
2.855 1.648 4.662
! **ΔE to the lowest computed polymorph**: 0.45 eV per formula unit
! **Density of states at the Fermi level**: 8.86 states/eV/cell

=====

No. 6
! TbNdErZn PBE optimized geometry; values from VASP
&SYSTEM
  ibrav = 0, nat = 4, ntyp = 4
/
ATOMIC_SPECIES
Tb 158.93 Tb.upf
Er 167.26 Er.upf
Nd 144.24 Nd.upf
Zn 65.41 Zn.upf
ATOMIC_POSITIONS crystal
Tb 0.000 0.000 0.000
Er 0.750 0.750 0.750
Nd 0.500 0.500 0.500
Zn 0.250 0.250 0.250
CELL_PARAMETERS angstrom
5.383 0.000 0.000
2.691 4.662 0.000
2.691 1.554 4.395
! **ΔE to the lowest computed polymorph**: 0.78 eV per formula unit
! **Density of states at the Fermi level**: 4.92 states/eV/cell